{"formula": "La3In3NiHg2", "functional": "PBE", "state": "optimized geometry", "lattice_angstrom": [[7.866, 0.000, 0.000], [-3.933, 6.812, 0.000], [0.000, 0.000, 4.435]], "species": ["La", "La", "La", "In", "In", "In", "Ni", "Hg", "Hg"], "fractional_positions": [[0.000, 0.392, 0.000], [0.392, 0.000, 0.000], [0.608, 0.608, 0.000], [0.000, 0.771, 0.500], [0.229, 0.229, 0.500], [0.771, 0.000, 0.500], [0.000, 0.000, 0.000], [0.333, 0.667, 0.500], [0.667, 0.333, 0.500]], "e_form_ev_per_atom": -0.499, "crystal_system": "hexagonal", "spacegroup": "P-62m", "final_energy_ev_per_atom": -3.763}

---

{"formula": "LaIn2NiHg", "functional": "PBE", "state": "optimized geometry", "lattice_angstrom": [[4.959, 0.000, 0.000], [0.000, 4.959, 0.000], [0.000, 0.000, 5.044]], "species": ["La", "In", "In", "Ni", "Hg"], "fractional_positions": [[0.000, 0.000, 0.000], [0.000, 0.500, 0.500], [0.500, 0.000, 0.500], [0.500, 0.500, 0.500], [0.500, 0.500, 0.000]], "e_form_ev_per_atom": -0.253, "relative_energy_mev_per_atom": 66, "crystal_system": "tetragonal", "spacegroup": "P4/mmm", "final_energy_ev_per_atom": -3.550}

---

{"formula": "LaIn2NiHg", "functional": "PBE", "state": "optimized geometry", "lattice_angstrom": [[5.025, 0.000, 0.000], [0.000, 5.025, 0.000], [0.000, 0.000, 5.185]], "species": ["La", "In", "In", "Ni", "Hg"], "fractional_positions": [[0.000, 0.000, 0.000], [0.000, 0.500, 0.500], [0.500, 0.000, 0.500], [0.000, 0.000, 0.500], [0.500, 0.500, 0.000]], "e_form_ev_per_atom": -0.319, "relative_energy_mev_per_atom": 0, "crystal_system": "tetragonal", "spacegroup": "P4/mmm", "final_energy_ev_per_atom": -3.616}

---

{"formula": "La12In4HgO3", "functional": "PBE", "state": "optimized geometry", "lattice_angstrom": [[-5.291, 5.291, 5.291], [5.291, -5.291, 5.291], [5.291, 5.291, -5.291]], "species": ["La", "La", "La", "La", "La", "La", "La", "La", "La", "La", "La", "La", "In", "In", "In", "In", "Hg", "O", "O", "O"], "fractional_positions": [[0.000, 0.276, 0.276], [0.000, 0.724, 0.724], [0.250, 0.500, 0.750], [0.250, 0.750, 0.500], [0.276, 0.000, 0.276], [0.276, 0.276, 0.000], [0.500, 0.250, 0.750], [0.500, 0.750, 0.250], [0.724, 0.000, 0.724], [0.724, 0.724, 0.000], [0.750, 0.250, 0.500], [0.750, 0.500, 0.250], [0.000, 0.000, 0.500], [0.000, 0.500, 0.000], [0.500, 0.000, 0.000], [0.500, 0.500, 0.500], [0.000, 0.000, 0.000], [0.000, 0.500, 0.500], [0.500, 0.000, 0.500], [0.500, 0.500, 0.000]], "crystal_system": "cubic", "formation_energy_uncorrected_ev_per_atom": -1.0110, "spacegroup": "Im-3m", "final_energy_ev_per_atom": -5.274}

---

{"formula": "La4InHgO", "functional": "PBE", "state": "optimized geometry", "lattice_angstrom": [[3.507, -8.393, 0.000], [3.507, 8.393, 0.000], [0.000, 0.000, 7.033]], "species": ["La", "La", "La", "La", "La", "La", "La", "La", "In", "In", "Hg", "Hg", "O", "O"], "fractional_positions": [[0.000, 0.500, 0.000], [0.000, 0.500, 0.500], [0.072, 0.928, 0.750], [0.421, 0.579, 0.750], [0.500, 0.000, 0.000], [0.500, 0.000, 0.500], [0.579, 0.421, 0.250], [0.928, 0.072, 0.250], [0.388, 0.612, 0.250], [0.612, 0.388, 0.750], [0.116, 0.884, 0.250], [0.884, 0.116, 0.750], [0.249, 0.751, 0.750], [0.751, 0.249, 0.250]], "crystal_system": "orthorhombic", "formation_energy_uncorrected_ev_per_atom": -1.0589, "spacegroup": "Cmcm", "final_energy_ev_per_atom": -5.017}

---

{"formula": "LaIn2HgO", "functional": "PBE", "state": "optimized geometry", "lattice_angstrom": [[5.747, 0.000, 0.000], [0.000, 5.747, 0.000], [0.000, 0.000, 4.209]], "species": ["La", "In", "In", "Hg", "O"], "fractional_positions": [[0.000, 0.000, 0.000], [0.000, 0.500, 0.500], [0.500, 0.000, 0.500], [0.500, 0.500, 0.500], [0.500, 0.500, 0.000]], "crystal_system": "tetragonal", "formation_energy_uncorrected_ev_per_atom": 0.0114, "spacegroup": "P4/mmm", "final_energy_ev_per_atom": -3.121}